# Sr2CaYO GGA-PBE optimized geometry
data_Sr2CaYO
_space_group_name_H-M_alt 'P 1'
_space_group_IT_number 1
_space_group_name_Hall 'P 1'
_cell_length_a 5.7301
_cell_length_b 4.6927
_cell_length_c 5.7301
_cell_angle_alpha 90.00
_cell_angle_beta 90.00
_cell_angle_gamma 90.00
loop_
_atom_site_label
_atom_site_type_symbol
_atom_site_fract_x
_atom_site_fract_y
_atom_site_fract_z
Ca1 Ca 0.0000 0.5000 0.0000
Sr1 Sr 0.5000 0.0000 0.0000
Sr2 Sr 0.0000 0.0000 0.5000
O1 O 0.0000 0.0000 0.0000
Y1 Y 0.5000 0.5000 0.5000
# Raw formation energy (eV per atom): -0.81
# Spin magnetization (μB/atom): 0.1120
# Total DFT energy (no corrections) (eV/atom): -4.16


# SmHS2 GGA-PBE optimized geometry
data_SmHS2
_space_group_name_H-M_alt 'P 1'
_space_group_IT_number 1
_space_group_name_Hall 'P 1'
_cell_length_a 4.2096
_cell_length_b 4.2096
_cell_length_c 6.5828
_cell_angle_alpha 71.35
_cell_angle_beta 71.35
_cell_angle_gamma 60.00
loop_
_atom_site_label
_atom_site_type_symbol
_atom_site_fract_x
_atom_site_fract_y
_atom_site_fract_z
S1 S 0.0888 0.0888 0.7335
S2 S 0.9112 0.9112 0.2665
H1 H 0.0000 0.0000 0.0000
Sm1 Sm 0.5000 0.5000 0.5000
# Spin magnetization (μB/atom): 0.0000
# Offset from the most stable computed form (kJ per mole of atoms): 5.0
# Total DFT energy (no corrections) (eV/atom): -5.34


# Pr3Ho6Sc GGA-PBE optimized geometry
data_Pr3Ho6Sc
_space_group_name_H-M_alt 'P 1'
_space_group_IT_number 1
_space_group_name_Hall 'P 1'
_cell_length_a 6.2577
_cell_length_b 10.9233
_cell_length_c 10.9233
_cell_angle_alpha 119.65
_cell_angle_beta 90.00
_cell_angle_gamma 90.00
loop_
_atom_site_label
_atom_site_type_symbol
_atom_site_fract_x
_atom_site_fract_y
_atom_site_fract_z
Ho1 Ho 0.3719 0.5391 0.9600
Ho2 Ho 0.8719 0.9600 0.5391
Ho3 Ho 0.1310 0.7228 0.2772
Ho4 Ho 0.8719 0.4609 0.0400
Ho5 Ho 0.9063 0.0461 0.9539
Ho6 Ho 0.0461 0.7116 0.6188
Ho7 Ho 0.5461 0.6188 0.7116
Ho8 Ho 0.5461 0.2884 0.3812
Ho9 Ho 0.3719 0.0400 0.4609
Ho10 Ho 0.0461 0.3812 0.2884
Ho11 Ho 0.6310 0.2772 0.7228
Ho12 Ho 0.4063 0.9539 0.0461
Pr1 Pr 0.0665 0.3870 0.6130
Pr2 Pr 0.9582 0.7184 0.9444
Pr3 Pr 0.4582 0.9444 0.7184
Pr4 Pr 0.5665 0.6130 0.3870
Pr5 Pr 0.9582 0.0556 0.2816
Pr6 Pr 0.4582 0.2816 0.0556
Sc1 Sc 0.1291 0.2030 0.7970
Sc2 Sc 0.6291 0.7970 0.2030
# Spin magnetization (μB/atom): 0.0001
# Offset from the most stable computed form (kJ per mole of atoms): 0.0
# Total DFT energy (no corrections) (eV/atom): -4.66